LaSnPb3 | meta-GGA SCAN | single point on PBEsol structure

Calculated values
E_tot, eV per atom: -61.0569

Lattice parameters (Å, degrees): 5.6409 5.6409 5.6409 90.00 90.00 90.00
Closest atoms and distances in Å follow each position.
Fractional positions:
Pb  0.5000  0.0000  0.0000  2 Sn 2.82
Pb  0.0000  0.0000  0.5000  2 Sn 2.82
Pb  0.0000  0.5000  0.0000  2 Sn 2.82
La  0.5000  0.5000  0.5000  12 Pb 3.99
Sn  0.0000  0.0000  0.0000  6 Pb 2.82

SrLa2Pb2 | meta-GGA SCAN | single point on PBEsol structure

Calculated values
E_tot, eV per atom: -52.7782

Lattice parameters (Å, degrees): 3.8927 9.3181 9.3181 90.00 90.00 90.00
Closest atoms and distances in Å follow each position.
Fractional positions:
La  0.5000  0.1321  0.6321  6 Pb 3.29-3.41, 1 La 3.48
La  0.5000  0.8679  0.3679  6 Pb 3.29-3.41, 1 La 3.48
La  0.5000  0.6321  0.8679  6 Pb 3.29-3.41, 1 La 3.48
La  0.5000  0.3679  0.1321  6 Pb 3.29-3.41, 1 La 3.48
Sr  0.0000  0.5000  0.5000  4 Pb 3.47
Sr  0.0000  0.0000  0.0000  4 Pb 3.47
Pb  0.0000  0.3333  0.8333  6 La 3.29-3.41, 2 Sr 3.47
Pb  0.0000  0.6667  0.1667  6 La 3.29-3.41, 2 Sr 3.47
Pb  0.0000  0.1667  0.3333  6 La 3.29-3.41, 2 Sr 3.47
Pb  0.0000  0.8333  0.6667  6 La 3.29-3.41, 2 Sr 3.47

SrLaPb3 | meta-GGA SCAN | single point on PBEsol structure

Calculated values
E_tot, eV per atom: -58.6086

Lattice parameters (Å, degrees): 5.9571 5.9571 5.9571 90.00 90.00 90.00
Closest atoms and distances in Å follow each position.
Fractional positions:
La  0.0000  0.0000  0.0000  6 Pb 2.98
Pb  0.0000  0.0000  0.5000  2 La 2.98
Pb  0.5000  0.0000  0.0000  2 La 2.98
Pb  0.0000  0.5000  0.0000  2 La 2.98
Sr  0.5000  0.5000  0.5000  12 Pb 4.21

SrLaPb | meta-GGA SCAN | single point on PBEsol structure

Calculated values
E_tot, eV per atom: -47.4983

Lattice parameters (Å, degrees): 4.3575 4.3575 5.9560 111.46 111.46 90.00
Closest atoms and distances in Å follow each position.
Fractional positions:
La  0.0078  0.0078  0.0157  5 Sr 3.26-3.59, 5 Pb 3.47-3.50
Pb  0.6647  0.6647  0.3294  5 Sr 3.44-3.50, 5 La 3.47-3.50
Sr  0.3275  0.3275  0.6550  5 La 3.26-3.59, 5 Pb 3.44-3.50